[1]
The following is a DFT calculation (GGA-PBE) of a relaxed Al2CdAs crystal.

Fermi-level density of states: 0.5047 states/eV per atom
Energy above the most stable polymorph in this dataset: 8.88 kJ per mole of atoms
Energy: -12.47 eV/cell
Symmetry: No. 123
ΔH_f (0 K): 14 kJ per mole of atoms
Size of the total moment: 0.000 μB/f.u.

Cell: 3.1973 3.1973 7.5798 Å, 90.00 90.00 90.00°
Last column: nearest neighbours and their distance in Å.
Positions (direct):
Al (0.0000, 0.0000, 0.2224)  4 As 2.82, 4 Cd 3.09
Al (0.0000, 0.0000, 0.7776)  4 As 2.82, 4 Cd 3.09
Cd (0.5000, 0.5000, 0.5000)  8 Al 3.09, 4 Cd 3.20
As (0.5000, 0.5000, 0.0000)  8 Al 2.82

=====

[2]
The following is a DFT calculation (GGA-PBE) of a relaxed NaPuTeO6 crystal.

Energy: -128.46 eV/cell
Formation energy from raw total energies: -1743 meV/atom
Symmetry: No. 163
Size of the total moment: 0.979 μB/f.u.

Cell: 5.6503 5.6503 10.1213 Å, 90.00 90.00 120.00°
Last column: nearest neighbours and their distance in Å.
Positions (direct):
Na (0.0000, 0.0000, 0.0000)  6 O 2.54
Na (0.0000, 0.0000, 0.5000)  6 O 2.54
Pu (0.3333, 0.6667, 0.2500)  6 O 2.04
Pu (0.6667, 0.3333, 0.7500)  6 O 2.04
Te (0.3333, 0.6667, 0.7500)  6 O 2.14
Te (0.6667, 0.3333, 0.2500)  6 O 2.14
O (0.0130, 0.3749, 0.1433)  1 Pu 2.04, 1 Te 2.14
O (0.0130, 0.6381, 0.3567)  1 Pu 2.04, 1 Te 2.14
O (0.3619, 0.3749, 0.3567)  1 Pu 2.04, 1 Te 2.14
O (0.3619, 0.9870, 0.1433)  1 Pu 2.04, 1 Te 2.14
O (0.3749, 0.0130, 0.6433)  1 Pu 2.04, 1 Te 2.14
O (0.3749, 0.3619, 0.8567)  1 Pu 2.04, 1 Te 2.14
O (0.6251, 0.6381, 0.1433)  1 Pu 2.04, 1 Te 2.14
O (0.6251, 0.9870, 0.3567)  1 Pu 2.04, 1 Te 2.14
O (0.6381, 0.0130, 0.8567)  1 Pu 2.04, 1 Te 2.14
O (0.6381, 0.6251, 0.6433)  1 Pu 2.04, 1 Te 2.14
O (0.9870, 0.3619, 0.6433)  1 Pu 2.04, 1 Te 2.14
O (0.9870, 0.6251, 0.8567)  1 Pu 2.04, 1 Te 2.14

=====

[3]
The following is a DFT calculation (GGA-PBE) of a relaxed Ir2PtN crystal.

Fermi-level density of states: 0.9458 states/eV per atom
Energy: -119.47 eV/cell
Formation energy from raw total energies: 555 meV/atom
Symmetry: No. 122
Size of the total moment: 0.000 μB/f.u.

Cell: 6.1210 6.1210 6.0887 Å, 90.00 90.00 90.00°
Last column: nearest neighbours and their distance in Å.
Positions (direct):
Ir (0.1477, 0.7500, 0.1250)  2 N 1.93
Ir (0.2500, 0.1477, 0.8750)  2 N 1.93
Ir (0.2500, 0.3523, 0.3750)  2 N 1.93
Ir (0.3523, 0.7500, 0.6250)  2 N 1.93
Ir (0.6477, 0.2500, 0.6250)  2 N 1.93
Ir (0.7500, 0.6477, 0.3750)  2 N 1.93
Ir (0.7500, 0.8523, 0.8750)  2 N 1.93
Ir (0.8523, 0.2500, 0.1250)  2 N 1.93
Pt (0.0000, 0.0000, 0.5000)  8 Ir 2.75-2.89, 2 N 3.04
Pt (0.0000, 0.5000, 0.7500)  8 Ir 2.75-2.89, 2 N 3.04
Pt (0.5000, 0.0000, 0.2500)  8 Ir 2.75-2.89, 2 N 3.04
Pt (0.5000, 0.5000, 0.0000)  8 Ir 2.75-2.89, 2 N 3.04
N (0.0000, 0.0000, 0.0000)  4 Ir 1.93
N (0.0000, 0.5000, 0.2500)  4 Ir 1.93
N (0.5000, 0.0000, 0.7500)  4 Ir 1.93
N (0.5000, 0.5000, 0.5000)  4 Ir 1.93

=====

[4]
The following is a DFT calculation (GGA-PBE) of a relaxed ZnFeIr crystal.

Fermi-level density of states: 1.4006 states/eV per atom
Energy above the most stable polymorph in this dataset: 36.27 kJ per mole of atoms
Energy: -70.87 eV/cell
Symmetry: No. 216
ΔH_f (0 K): 28 kJ per mole of atoms
Size of the total moment: 3.555 μB/f.u.

Cell: 5.8481 5.8481 5.8481 Å, 90.00 90.00 90.00°
Last column: nearest neighbours and their distance in Å.
Positions (direct):
Zn (0.0000, 0.0000, 0.0000)  4 Ir 2.53
Zn (0.0000, 0.5000, 0.5000)  4 Ir 2.53
Zn (0.5000, 0.0000, 0.5000)  4 Ir 2.53
Zn (0.5000, 0.5000, 0.0000)  4 Ir 2.53
Fe (0.0000, 0.0000, 0.5000)  4 Ir 2.53
Fe (0.0000, 0.5000, 0.0000)  4 Ir 2.53
Fe (0.5000, 0.0000, 0.0000)  4 Ir 2.53
Fe (0.5000, 0.5000, 0.5000)  4 Ir 2.53
Ir (0.2500, 0.2500, 0.2500)  4 Fe 2.53, 4 Zn 2.53
Ir (0.2500, 0.7500, 0.7500)  4 Fe 2.53, 4 Zn 2.53
Ir (0.7500, 0.2500, 0.7500)  4 Fe 2.53, 4 Zn 2.53
Ir (0.7500, 0.7500, 0.2500)  4 Fe 2.53, 4 Zn 2.53

=====

[5]
The following is a DFT calculation (GGA-PBE) of a relaxed TbHg2Pd8 crystal.

Fermi-level density of states: 0.3193 states/eV per atom
Energy above the most stable polymorph in this dataset: 0.00 kJ per mole of atoms
Energy: -50.99 eV/cell
Symmetry: No. 12
ΔH_f (0 K): -37 kJ per mole of atoms
Size of the total moment: 0.000 μB/f.u.

Cell: 7.6075 7.6075 6.4258 Å, 104.61 104.61 31.84°
Last column: nearest neighbours and their distance in Å.
Positions (direct):
Tb (0.0000, 0.0000, 0.0000)  12 Pd 2.85-2.92
Hg (0.2755, 0.2755, 0.3519)  10 Pd 2.81-2.97, 2 Hg 3.05
Hg (0.7245, 0.7245, 0.6481)  10 Pd 2.81-2.97, 2 Hg 3.05
Pd (0.0903, 0.0903, 0.4600)  8 Pd 2.82-2.94, 3 Hg 2.90-2.97, 1 Tb 2.90
Pd (0.1809, 0.1809, 0.9113)  3 Hg 2.81-2.86, 1 Tb 2.85, 8 Pd 2.85-2.95
Pd (0.3629, 0.3629, 0.8173)  7 Pd 2.85-2.94, 3 Hg 2.91-2.93, 2 Tb 2.92
Pd (0.4580, 0.4580, 0.2790)  9 Pd 2.78-2.95, 1 Hg 2.83, 2 Tb 2.92
Pd (0.5420, 0.5420, 0.7210)  9 Pd 2.78-2.95, 1 Hg 2.83, 2 Tb 2.92
Pd (0.6371, 0.6371, 0.1827)  7 Pd 2.85-2.94, 3 Hg 2.91-2.93, 2 Tb 2.92
Pd (0.8191, 0.8191, 0.0887)  3 Hg 2.81-2.86, 1 Tb 2.85, 8 Pd 2.85-2.95
Pd (0.9097, 0.9097, 0.5400)  8 Pd 2.82-2.94, 3 Hg 2.90-2.97, 1 Tb 2.90

=====

[6]
The following is a DFT calculation (GGA-PBE) of a relaxed ZrAgC3 crystal.

Fermi-level density of states: 1.1091 states/eV per atom
Energy above the most stable polymorph in this dataset: 0.00 kJ per mole of atoms
Energy: -27.78 eV/cell
Symmetry: No. 221
ΔH_f (0 K): 218 kJ per mole of atoms
Size of the total moment: 0.000 μB/f.u.

Cell: 4.3694 4.3694 4.3694 Å, 90.00 90.00 90.00°
Last column: nearest neighbours and their distance in Å.
Positions (direct):
Zr (0.0000, 0.0000, 0.0000)  6 C 2.18
Ag (0.5000, 0.5000, 0.5000)  12 C 3.09
C (0.0000, 0.0000, 0.5000)  2 Zr 2.18
C (0.0000, 0.5000, 0.0000)  2 Zr 2.18
C (0.5000, 0.0000, 0.0000)  2 Zr 2.18

=====

[7]
The following is a DFT calculation (GGA-PBE) of a relaxed BaCa2Ta crystal.

Fermi-level density of states: 1.2363 states/eV per atom
Energy above the most stable polymorph in this dataset: 14.32 kJ per mole of atoms
Energy: -29.13 eV/cell
Symmetry: No. 8
ΔH_f (0 K): 78 kJ per mole of atoms
Size of the total moment: 0.890 μB/f.u.

Cell: 13.0802 3.5145 6.2906 Å, 90.00 108.72 90.00°
Last column: nearest neighbours and their distance in Å.
Positions (direct):
Ba (0.0000, 0.0000, 0.0000)  2 Ta 3.41, 2 Ba 3.51, 4 Ca 3.64-3.77
Ba (0.5000, 0.5000, 0.0000)  2 Ta 3.41, 2 Ba 3.51, 4 Ca 3.64-3.77
Ca (0.0703, 0.5000, 0.5596)  2 Ta 3.16, 3 Ca 3.50-3.51
Ca (0.2939, 0.5000, 0.3677)  5 Ca 3.50-3.85, 4 Ta 3.56-3.69
Ca (0.5703, 0.0000, 0.5596)  2 Ta 3.16, 3 Ca 3.50-3.51
Ca (0.7939, 0.0000, 0.3677)  5 Ca 3.50-3.85, 4 Ta 3.56-3.69
Ta (0.2643, 0.0000, 0.8596)  2 Ca 3.16, 2 Ba 3.41, 2 Ta 3.51
Ta (0.7643, 0.5000, 0.8596)  2 Ca 3.16, 2 Ba 3.41, 2 Ta 3.51

=====

[8]
The following is a DFT calculation (GGA-PBE) of a relaxed PaHgI2F6 crystal.

Fermi-level density of states: 0.3057 states/eV per atom
Energy: -48.84 eV/cell
Formation energy from raw total energies: -2471 meV/atom
Symmetry: No. 2
Size of the total moment: 0.000 μB/f.u.

Cell: 5.7310 6.7651 7.5254 Å, 94.22 102.66 94.71°
Last column: nearest neighbours and their distance in Å.
Positions (direct):
Pa (0.0000, 0.0000, 0.0000)  6 F 2.09-2.15
Hg (0.0000, 0.5000, 0.5000)  2 F 2.84, 2 I 3.08
I (0.4606, 0.6451, 0.3803)  1 F 2.65, 1 I 2.76
I (0.5394, 0.3549, 0.6197)  1 F 2.65, 1 I 2.76
F (0.0489, 0.8268, 0.7684)  1 Pa 2.11
F (0.1665, 0.2516, 0.9160)  1 Pa 2.09
F (0.3352, 0.9256, 0.1602)  1 Pa 2.15
F (0.6648, 0.0744, 0.8398)  1 Pa 2.15
F (0.8335, 0.7484, 0.0840)  1 Pa 2.09
F (0.9511, 0.1732, 0.2316)  1 Pa 2.11

=====

[9]
The following is a DFT calculation (GGA-PBE) of a relaxed La2TbPrSm4 crystal.

Fermi-level density of states: 1.6104 states/eV per atom
Energy: -37.97 eV/cell
Symmetry: No. 10
ΔH_f (0 K): 2 kJ per mole of atoms
Size of the total moment: 0.000 μB/f.u.

Cell: 5.1763 5.1943 10.3416 Å, 90.00 90.10 90.00°
Last column: nearest neighbours and their distance in Å.
Positions (direct):
La (0.0000, 0.0000, 0.0000)  4 Pr 3.67, 8 Sm 3.67-3.68
La (0.5000, 0.5000, 0.5000)  8 Sm 3.64-3.65, 4 Tb 3.67
Tb (0.0000, 0.0000, 0.5000)  8 Sm 3.64-3.65, 4 La 3.67
Pr (0.5000, 0.5000, 0.0000)  4 La 3.67, 8 Sm 3.67-3.68
Sm (0.9998, 0.5000, 0.2520)  4 La 3.64-3.68, 2 Tb 3.65, 4 Sm 3.66-3.67, 2 Pr 3.67-3.68
Sm (0.0002, 0.5000, 0.7480)  4 La 3.64-3.68, 2 Tb 3.65, 4 Sm 3.66-3.67, 2 Pr 3.67-3.68
Sm (0.5004, 0.0000, 0.2523)  2 Tb 3.64-3.65, 4 La 3.65-3.68, 4 Sm 3.66-3.67, 2 Pr 3.68
Sm (0.4996, 0.0000, 0.7477)  2 Tb 3.64-3.65, 4 La 3.65-3.68, 4 Sm 3.66-3.67, 2 Pr 3.68

=====

[10]
The following is a DFT calculation (GGA-PBE) of a relaxed CrFe2AsW crystal.

Fermi-level density of states: 1.1755 states/eV per atom
Energy: -37.69 eV/cell
Symmetry: No. 123
ΔH_f (0 K): 125 kJ per mole of atoms
Size of the total moment: 1.603 μB/f.u.

Cell: 4.1877 4.1877 4.4167 Å, 90.00 90.00 90.00°
Last column: nearest neighbours and their distance in Å.
Positions (direct):
Cr (0.0000, 0.0000, 0.0000)  4 Fe 2.09, 2 As 2.21
Fe (0.0000, 0.5000, 0.0000)  2 Cr 2.09
Fe (0.5000, 0.0000, 0.0000)  2 Cr 2.09
As (0.0000, 0.0000, 0.5000)  2 Cr 2.21
W (0.5000, 0.5000, 0.5000)  4 As 2.96, 8 Fe 3.04

=====

[11]
The following is a DFT calculation (GGA-PBE) of a relaxed Rb2Na5Ag4 crystal.

Fermi-level density of states: 0.3676 states/eV per atom
Energy: -19.45 eV/cell
Symmetry: No. 12
ΔH_f (0 K): 4 kJ per mole of atoms
Size of the total moment: 0.000 μB/f.u.

Cell: 8.2305 8.2305 9.2278 Å, 117.99 117.99 50.12°
Last column: nearest neighbours and their distance in Å.
Positions (direct):
Rb (0.2409, 0.2409, 0.1320)  3 Ag 3.63-3.87
Rb (0.7591, 0.7591, 0.8680)  3 Ag 3.63-3.87
Na (0.1503, 0.6553, 0.5988)  4 Ag 3.01-3.22
Na (0.3447, 0.8497, 0.4012)  4 Ag 3.01-3.22
Na (0.5000, 0.5000, 0.0000)  2 Ag 2.98
Na (0.6553, 0.1503, 0.5988)  4 Ag 3.01-3.22
Na (0.8497, 0.3447, 0.4012)  4 Ag 3.01-3.22
Ag (0.0868, 0.0868, 0.6717)  2 Ag 2.74-2.87, 2 Na 3.01
Ag (0.2805, 0.2805, 0.7049)  1 Ag 2.74, 3 Na 2.98-3.04
Ag (0.7195, 0.7195, 0.2951)  1 Ag 2.74, 3 Na 2.98-3.04
Ag (0.9132, 0.9132, 0.3283)  2 Ag 2.74-2.87, 2 Na 3.01

=====

[12]
The following is a DFT calculation (GGA-PBE) of a relaxed BaTlCu3 crystal.

Fermi-level density of states: 0.2034 states/eV per atom
Energy above the most stable polymorph in this dataset: 0.00 kJ per mole of atoms
Energy: -15.22 eV/cell
Symmetry: No. 221
ΔH_f (0 K): 26 kJ per mole of atoms
Size of the total moment: 0.000 μB/f.u.

Cell: 5.0575 5.0575 5.0575 Å, 90.00 90.00 90.00°
Last column: nearest neighbours and their distance in Å.
Positions (direct):
Ba (0.0000, 0.0000, 0.0000)  12 Cu 3.58
Tl (0.5000, 0.5000, 0.5000)  6 Cu 2.53
Cu (0.0000, 0.5000, 0.5000)  2 Tl 2.53
Cu (0.5000, 0.0000, 0.5000)  2 Tl 2.53
Cu (0.5000, 0.5000, 0.0000)  2 Tl 2.53

=====

What did the ninth record say?
The following is a DFT calculation (GGA-PBE) of a relaxed La2TbPrSm4 crystal.

Fermi-level density of states: 1.6104 states/eV per atom
Energy: -37.97 eV/cell
Symmetry: No. 10
ΔH_f (0 K): 2 kJ per mole of atoms
Size of the total moment: 0.000 μB/f.u.

Cell: 5.1763 5.1943 10.3416 Å, 90.00 90.10 90.00°
Last column: nearest neighbours and their distance in Å.
Positions (direct):
La (0.0000, 0.0000, 0.0000)  4 Pr 3.67, 8 Sm 3.67-3.68
La (0.5000, 0.5000, 0.5000)  8 Sm 3.64-3.65, 4 Tb 3.67
Tb (0.0000, 0.0000, 0.5000)  8 Sm 3.64-3.65, 4 La 3.67
Pr (0.5000, 0.5000, 0.0000)  4 La 3.67, 8 Sm 3.67-3.68
Sm (0.9998, 0.5000, 0.2520)  4 La 3.64-3.68, 2 Tb 3.65, 4 Sm 3.66-3.67, 2 Pr 3.67-3.68
Sm (0.0002, 0.5000, 0.7480)  4 La 3.64-3.68, 2 Tb 3.65, 4 Sm 3.66-3.67, 2 Pr 3.67-3.68
Sm (0.5004, 0.0000, 0.2523)  2 Tb 3.64-3.65, 4 La 3.65-3.68, 4 Sm 3.66-3.67, 2 Pr 3.68
Sm (0.4996, 0.0000, 0.7477)  2 Tb 3.64-3.65, 4 La 3.65-3.68, 4 Sm 3.66-3.67, 2 Pr 3.68

=====

> Which value of energy does entry 7 give?

-29.13 eV/cell

=====

What did the fourth record say?
The following is a DFT calculation (GGA-PBE) of a relaxed ZnFeIr crystal.

Fermi-level density of states: 1.4006 states/eV per atom
Energy above the most stable polymorph in this dataset: 36.27 kJ per mole of atoms
Energy: -70.87 eV/cell
Symmetry: No. 216
ΔH_f (0 K): 28 kJ per mole of atoms
Size of the total moment: 3.555 μB/f.u.

Cell: 5.8481 5.8481 5.8481 Å, 90.00 90.00 90.00°
Last column: nearest neighbours and their distance in Å.
Positions (direct):
Zn (0.0000, 0.0000, 0.0000)  4 Ir 2.53
Zn (0.0000, 0.5000, 0.5000)  4 Ir 2.53
Zn (0.5000, 0.0000, 0.5000)  4 Ir 2.53
Zn (0.5000, 0.5000, 0.0000)  4 Ir 2.53
Fe (0.0000, 0.0000, 0.5000)  4 Ir 2.53
Fe (0.0000, 0.5000, 0.0000)  4 Ir 2.53
Fe (0.5000, 0.0000, 0.0000)  4 Ir 2.53
Fe (0.5000, 0.5000, 0.5000)  4 Ir 2.53
Ir (0.2500, 0.2500, 0.2500)  4 Fe 2.53, 4 Zn 2.53
Ir (0.2500, 0.7500, 0.7500)  4 Fe 2.53, 4 Zn 2.53
Ir (0.7500, 0.2500, 0.7500)  4 Fe 2.53, 4 Zn 2.53
Ir (0.7500, 0.7500, 0.2500)  4 Fe 2.53, 4 Zn 2.53

=====

Please write out number 5 again, unchanged.
The following is a DFT calculation (GGA-PBE) of a relaxed TbHg2Pd8 crystal.

Fermi-level density of states: 0.3193 states/eV per atom
Energy above the most stable polymorph in this dataset: 0.00 kJ per mole of atoms
Energy: -50.99 eV/cell
Symmetry: No. 12
ΔH_f (0 K): -37 kJ per mole of atoms
Size of the total moment: 0.000 μB/f.u.

Cell: 7.6075 7.6075 6.4258 Å, 104.61 104.61 31.84°
Last column: nearest neighbours and their distance in Å.
Positions (direct):
Tb (0.0000, 0.0000, 0.0000)  12 Pd 2.85-2.92
Hg (0.2755, 0.2755, 0.3519)  10 Pd 2.81-2.97, 2 Hg 3.05
Hg (0.7245, 0.7245, 0.6481)  10 Pd 2.81-2.97, 2 Hg 3.05
Pd (0.0903, 0.0903, 0.4600)  8 Pd 2.82-2.94, 3 Hg 2.90-2.97, 1 Tb 2.90
Pd (0.1809, 0.1809, 0.9113)  3 Hg 2.81-2.86, 1 Tb 2.85, 8 Pd 2.85-2.95
Pd (0.3629, 0.3629, 0.8173)  7 Pd 2.85-2.94, 3 Hg 2.91-2.93, 2 Tb 2.92
Pd (0.4580, 0.4580, 0.2790)  9 Pd 2.78-2.95, 1 Hg 2.83, 2 Tb 2.92
Pd (0.5420, 0.5420, 0.7210)  9 Pd 2.78-2.95, 1 Hg 2.83, 2 Tb 2.92
Pd (0.6371, 0.6371, 0.1827)  7 Pd 2.85-2.94, 3 Hg 2.91-2.93, 2 Tb 2.92
Pd (0.8191, 0.8191, 0.0887)  3 Hg 2.81-2.86, 1 Tb 2.85, 8 Pd 2.85-2.95
Pd (0.9097, 0.9097, 0.5400)  8 Pd 2.82-2.94, 3 Hg 2.90-2.97, 1 Tb 2.90